Density functional theory data (GGA-PBE) for an optimized crystal structure of CaTaBeMo2.

a = 4.519 Å, b = 4.519 Å, c = 4.765 Å
α = 90.00°, β = 90.00°, γ = 90.00°
Space group P4/mmm (No. 123)
Symmetry-distinct sites (fractional):
1 Ca 0.000 0.000 0.000 [1 per cell]
2 Ta 0.000 0.000 0.500 [1 per cell]
3 Be 0.500 0.500 0.500 [1 per cell]
4 Mo 0.000 0.500 0.000 [2 per cell]

Spin magnetization in μB/f.u.: 0.00
Calculated formation energy in meV per atom: 2813